This record from Alexandria via LeMat-Bulk describes crystalline SrMg3C4O12 at its relaxed geometry. The functional is PBE-GGA.

The structure in extended XYZ format:
```
20
Lattice="6.197 0.067 0.093 -1.428 6.030 0.093 -1.428 -1.826 5.748" Properties=species:S:1:pos:R:3 pbc="T T T"
Sr 0.000 0.000 0.000
Mg 2.728 2.779 0.093
Mg 2.040 -0.965 3.175
Mg -1.428 2.457 2.665
C 5.125 -0.567 2.966
C -1.785 1.277 5.529
C 1.670 5.695 0.404
C 1.670 2.135 2.966
O 1.670 1.079 3.727
O 4.806 2.914 0.640
O -1.467 4.588 2.966
O 1.670 -1.097 5.293
O 0.736 5.557 1.280
O -0.711 0.582 5.676
O 5.216 0.562 2.354
O 2.604 4.821 0.256
O -1.876 2.217 4.653
O 4.051 -0.928 3.579
O 2.695 2.390 2.206
O 0.645 2.937 2.966
```

Output
* M_tot: 0.000 μB per atom
* raw formation energy: -41.69 eV/f.u.
* ρ: 3.060 g cm⁻³
* space group: R32 (155)